The following is a DFT calculation (PBE-GGA) of Tl2IrPb after structural relaxation.

Output
SG	No. 8
E_form	1.15	eV/f.u.
E	-4.04	eV/atom
E above lowest polymorph	0.056	eV per atom

Cell and atoms, written as extended XYZ:
```
4
Lattice="-2.180 2.753 2.035 -2.983 2.514 -1.120 -6.806 -5.318 2.134" Properties=species:S:1:pos:R:3 pbc="T T T"
Tl -8.697 0.308 2.189
Tl -6.767 -5.270 2.121
Ir -5.975 -0.025 1.522
Pb -3.321 -0.406 0.876
```